First-principles (GGA-PBE) data for CaZn3Hg after structural relaxation, as listed in Alexandria via LeMat-Bulk.

Properties
relative energy among the computed polymorphs = 0 meV/atom
energy relative to the elements = -0.22 eV/atom

Lattice parameters (Å, degrees): 6.2901 6.2895 6.0819 90.00 90.00 61.36
Element x y z (fractional)
Hg 0.6692 0.8712 0.0524
Hg 0.8914 0.0945 0.5524
Zn 0.4839 0.2791 0.3022
Zn 0.4267 0.6293 0.0524
Zn 0.0766 0.6866 0.3025
Zn 0.1340 0.3364 0.5524
Zn 0.4839 0.2791 0.8025
Zn 0.0766 0.6866 0.8022
Ca 0.0181 0.2205 0.0524
Ca 0.5425 0.7451 0.5524